Entry 1:
# Pr2Tm2Se5

A geometry-optimized Pr2Tm2Se5 structure (GGA-PBE, Alexandria).

a = 8.4096 Å, b = 8.4096 Å, c = 7.7130 Å
α = 90.00°, β = 90.00°, γ = 55.16°
With the nearest neighbours (Å) after each atom.
Atoms (fractional coordinates):
Pr  0.1982  0.1982  0.0000  7 Se 2.95-3.10
Pr  0.3018  0.3018  0.5000  7 Se 2.95-3.10
Pr  0.6982  0.6982  0.5000  7 Se 2.95-3.10
Pr  0.8018  0.8018  0.0000  7 Se 2.95-3.10
Tm  0.1512  0.8488  0.6564  8 Se 2.86-3.11
Tm  0.3488  0.6512  0.1564  8 Se 2.86-3.11
Tm  0.6512  0.3488  0.8436  8 Se 2.86-3.11
Tm  0.8488  0.1512  0.3436  8 Se 2.86-3.11
Se  0.0000  0.0000  0.0000  4 Tm 2.90-2.97, 2 Pr 2.95
Se  0.0263  0.7101  0.3460  3 Tm 2.86-3.11, 3 Pr 3.06-3.10
Se  0.2101  0.5263  0.8460  3 Tm 2.86-3.11, 3 Pr 3.06-3.10
Se  0.2899  0.9737  0.3460  3 Tm 2.86-3.11, 3 Pr 3.06-3.10
Se  0.4737  0.7899  0.8460  3 Tm 2.86-3.11, 3 Pr 3.06-3.10
Se  0.5000  0.5000  0.5000  4 Tm 2.90-2.97, 2 Pr 2.95
Se  0.5263  0.2101  0.1540  3 Tm 2.86-3.11, 3 Pr 3.06-3.10
Se  0.7101  0.0263  0.6540  3 Tm 2.86-3.11, 3 Pr 3.06-3.10
Se  0.7899  0.4737  0.1540  3 Tm 2.86-3.11, 3 Pr 3.06-3.10
Se  0.9737  0.2899  0.6540  3 Tm 2.86-3.11, 3 Pr 3.06-3.10

**Total magnetization**: 0.000 μB/atom
**E_tot**: -5.72 eV per atom
**Calculated volume**: 447.7 Å³ per cell
**Space-group type**: Cmce

---

Entry 2:
# Pr5TmSe6

A geometry-optimized Pr5TmSe6 structure (GGA-PBE, Alexandria).

a = 7.3236 Å, b = 7.3236 Å, c = 7.3091 Å
α = 99.61°, β = 99.61°, γ = 119.99°
With the nearest neighbours (Å) after each atom.
Atoms (fractional coordinates):
Pr  0.0000  0.0000  0.0000  6 Se 2.99-3.09
Pr  0.1678  0.8322  0.5000  6 Se 2.98-3.03
Pr  0.3250  0.6750  0.0000  6 Se 2.99-3.04
Pr  0.6750  0.3250  0.0000  6 Se 2.99-3.04
Pr  0.8322  0.1678  0.5000  6 Se 2.98-3.03
Tm  0.5000  0.5000  0.5000  6 Se 2.86-2.89
Se  0.1016  0.4200  0.2602  1 Tm 2.86, 5 Pr 2.98-3.04
Se  0.2633  0.2633  0.7464  1 Tm 2.89, 5 Pr 3.03-3.09
Se  0.4200  0.1016  0.2602  1 Tm 2.86, 5 Pr 2.98-3.04
Se  0.5800  0.8984  0.7398  1 Tm 2.86, 5 Pr 2.98-3.04
Se  0.7367  0.7367  0.2536  1 Tm 2.89, 5 Pr 3.03-3.09
Se  0.8984  0.5800  0.7398  1 Tm 2.86, 5 Pr 2.98-3.04

**Total magnetization**: 0.000 μB/atom
**E_tot**: -5.92 eV per atom
**Calculated volume**: 320.1 Å³ per cell
**Space-group type**: C2/m

---

Entry 3:
# Pr2TmSe

A geometry-optimized Pr2TmSe structure (GGA-PBE, Alexandria).

a = 3.9299 Å, b = 3.9299 Å, c = 29.0519 Å
α = 90.00°, β = 90.00°, γ = 120.00°
With the nearest neighbours (Å) after each atom.
Atoms (fractional coordinates):
Pr  0.0000  0.0000  0.2339  3 Se 2.99
Pr  0.0000  0.0000  0.7661  3 Se 2.99
Pr  0.3333  0.6667  0.4328  3 Se 2.99
Pr  0.3333  0.6667  0.9006  3 Se 2.99
Pr  0.6667  0.3333  0.0994  3 Se 2.99
Pr  0.6667  0.3333  0.5672  3 Se 2.99
Tm  0.0000  0.0000  0.0000  6 Pr 3.67, 6 Tm 3.93
Tm  0.3333  0.6667  0.6667  6 Pr 3.67, 6 Tm 3.93
Tm  0.6667  0.3333  0.3333  6 Pr 3.67, 6 Tm 3.93
Se  0.0000  0.0000  0.5000  6 Pr 2.99
Se  0.3333  0.6667  0.1667  6 Pr 2.99
Se  0.6667  0.3333  0.8333  6 Pr 2.99

**Total magnetization**: 0.205 μB/atom
**E_tot**: -5.12 eV per atom
**Calculated volume**: 388.6 Å³ per cell
**Space-group type**: R-3m

---

Entry 4:
# Pr5Tm3Se12

A geometry-optimized Pr5Tm3Se12 structure (GGA-PBE, Alexandria).

a = 14.8396 Å, b = 14.8396 Å, c = 14.8396 Å
α = 109.47°, β = 109.47°, γ = 109.47°
With the nearest neighbours (Å) after each atom.
Atoms (fractional coordinates):
Pr  0.0000  0.0000  0.0000  6 Se 2.97
Pr  0.0000  0.0000  0.5000  6 Se 2.97
Pr  0.0000  0.5000  0.0000  6 Se 2.97
Pr  0.0000  0.5000  0.5000  6 Se 2.97
Pr  0.1250  0.7500  0.8750  4 Se 2.79
Pr  0.1250  0.8750  0.2500  4 Se 2.79
Pr  0.2500  0.1250  0.8750  4 Se 2.79
Pr  0.2500  0.6250  0.3750  4 Se 2.79
Pr  0.3750  0.2500  0.6250  4 Se 2.79
Pr  0.3750  0.6250  0.7500  4 Se 2.79
Pr  0.5000  0.0000  0.0000  6 Se 2.97
Pr  0.5000  0.0000  0.5000  6 Se 2.97
Pr  0.5000  0.5000  0.0000  6 Se 2.97
Pr  0.5000  0.5000  0.5000  6 Se 2.97
Pr  0.6250  0.3750  0.2500  4 Se 2.79
Pr  0.6250  0.7500  0.3750  4 Se 2.79
Pr  0.7500  0.3750  0.6250  4 Se 2.79
Pr  0.7500  0.8750  0.1250  4 Se 2.79
Pr  0.8750  0.1250  0.7500  4 Se 2.79
Pr  0.8750  0.2500  0.1250  4 Se 2.79
Tm  0.1250  0.2500  0.3750  8 Se 2.99-3.30
Tm  0.1250  0.3750  0.7500  8 Se 2.99-3.30
Tm  0.2500  0.3750  0.1250  8 Se 2.99-3.30
Tm  0.2500  0.8750  0.6250  8 Se 2.99-3.30
Tm  0.3750  0.1250  0.2500  8 Se 2.99-3.30
Tm  0.3750  0.7500  0.1250  8 Se 2.99-3.30
Tm  0.6250  0.2500  0.8750  8 Se 2.99-3.30
Tm  0.6250  0.8750  0.7500  8 Se 2.99-3.30
Tm  0.7500  0.1250  0.3750  8 Se 2.99-3.30
Tm  0.7500  0.6250  0.8750  8 Se 2.99-3.30
Tm  0.8750  0.6250  0.2500  8 Se 2.99-3.30
Tm  0.8750  0.7500  0.6250  8 Se 2.99-3.30
Se  0.0578  0.2320  0.1315  2 Pr 2.79-2.97, 1 Tm 2.99
Se  0.0578  0.3258  0.9263  2 Pr 2.79-2.97, 1 Tm 2.99
Se  0.0737  0.6315  0.3995  2 Pr 2.79-2.97, 1 Tm 2.99
Se  0.0737  0.9422  0.6742  2 Pr 2.79-2.97, 1 Tm 2.99
Se  0.1005  0.7320  0.6742  2 Pr 2.79-2.97, 1 Tm 2.99
Se  0.1005  0.8685  0.4263  2 Pr 2.79-2.97, 1 Tm 2.99
Se  0.1315  0.0578  0.2320  2 Pr 2.79-2.97, 1 Tm 2.99
Se  0.1315  0.5737  0.8995  2 Pr 2.79-2.97, 1 Tm 2.99
Se  0.1742  0.2320  0.6005  2 Pr 2.79-2.97, 1 Tm 2.99
Se  0.1742  0.4422  0.5737  2 Pr 2.79-2.97, 1 Tm 2.99
Se  0.2320  0.1315  0.0578  2 Pr 2.79-2.97, 1 Tm 2.99
Se  0.2320  0.6005  0.1742  2 Pr 2.79-2.97, 1 Tm 2.99
Se  0.2680  0.3258  0.8995  2 Pr 2.79-2.97, 1 Tm 2.99
Se  0.2680  0.4422  0.3685  2 Pr 2.79-2.97, 1 Tm 2.99
Se  0.3258  0.8995  0.2680  2 Pr 2.79-2.97, 1 Tm 2.99
Se  0.3258  0.9263  0.0578  2 Pr 2.79-2.97, 1 Tm 2.99
Se  0.3685  0.2680  0.4422  2 Pr 2.79-2.97, 1 Tm 2.99
Se  0.3685  0.6005  0.9263  2 Pr 2.79-2.97, 1 Tm 2.99
Se  0.3995  0.0737  0.6315  2 Pr 2.79-2.97, 1 Tm 2.99
Se  0.3995  0.8258  0.7680  2 Pr 2.79-2.97, 1 Tm 2.99
Se  0.4263  0.1005  0.8685  2 Pr 2.79-2.97, 1 Tm 2.99
Se  0.4263  0.8258  0.5578  2 Pr 2.79-2.97, 1 Tm 2.99
Se  0.4422  0.3685  0.2680  2 Pr 2.79-2.97, 1 Tm 2.99
Se  0.4422  0.5737  0.1742  2 Pr 2.79-2.97, 1 Tm 2.99
Se  0.5578  0.4263  0.8258  2 Pr 2.79-2.97, 1 Tm 2.99
Se  0.5578  0.6315  0.7320  2 Pr 2.79-2.97, 1 Tm 2.99
Se  0.5737  0.1742  0.4422  2 Pr 2.79-2.97, 1 Tm 2.99
Se  0.5737  0.8995  0.1315  2 Pr 2.79-2.97, 1 Tm 2.99
Se  0.6005  0.1742  0.2320  2 Pr 2.79-2.97, 1 Tm 2.99
Se  0.6005  0.9263  0.3685  2 Pr 2.79-2.97, 1 Tm 2.99
Se  0.6315  0.3995  0.0737  2 Pr 2.79-2.97, 1 Tm 2.99
Se  0.6315  0.7320  0.5578  2 Pr 2.79-2.97, 1 Tm 2.99
Se  0.6742  0.0737  0.9422  2 Pr 2.79-2.97, 1 Tm 2.99
Se  0.6742  0.1005  0.7320  2 Pr 2.79-2.97, 1 Tm 2.99
Se  0.7320  0.5578  0.6315  2 Pr 2.79-2.97, 1 Tm 2.99
Se  0.7320  0.6742  0.1005  2 Pr 2.79-2.97, 1 Tm 2.99
Se  0.7680  0.3995  0.8258  2 Pr 2.79-2.97, 1 Tm 2.99
Se  0.7680  0.8685  0.9422  2 Pr 2.79-2.97, 1 Tm 2.99
Se  0.8258  0.5578  0.4263  2 Pr 2.79-2.97, 1 Tm 2.99
Se  0.8258  0.7680  0.3995  2 Pr 2.79-2.97, 1 Tm 2.99
Se  0.8685  0.4263  0.1005  2 Pr 2.79-2.97, 1 Tm 2.99
Se  0.8685  0.9422  0.7680  2 Pr 2.79-2.97, 1 Tm 2.99
Se  0.8995  0.1315  0.5737  2 Pr 2.79-2.97, 1 Tm 2.99
Se  0.8995  0.2680  0.3258  2 Pr 2.79-2.97, 1 Tm 2.99
Se  0.9263  0.0578  0.3258  2 Pr 2.79-2.97, 1 Tm 2.99
Se  0.9263  0.3685  0.6005  2 Pr 2.79-2.97, 1 Tm 2.99
Se  0.9422  0.6742  0.0737  2 Pr 2.79-2.97, 1 Tm 2.99
Se  0.9422  0.7680  0.8685  2 Pr 2.79-2.97, 1 Tm 2.99

**Total magnetization**: 0.000 μB/atom
**E_tot**: -5.50 eV per atom
**Calculated volume**: 2515.6 Å³ per cell
**Space-group type**: Ia-3d

---

Entry 5:
# PrTm4Se6

A geometry-optimized PrTm4Se6 structure (GGA-PBE, Alexandria).

a = 6.9163 Å, b = 6.9163 Å, c = 20.6326 Å
α = 90.00°, β = 90.00°, γ = 146.35°
With the nearest neighbours (Å) after each atom.
Atoms (fractional coordinates):
Pr  0.1537  0.8463  0.7500  6 Se 2.99-3.04
Pr  0.8463  0.1537  0.2500  6 Se 2.99-3.04
Tm  0.0912  0.9088  0.1251  6 Se 2.83-2.85
Tm  0.0912  0.9088  0.3749  6 Se 2.83-2.85
Tm  0.3600  0.6400  0.0375  6 Se 2.83-2.90
Tm  0.3600  0.6400  0.4625  6 Se 2.83-2.90
Tm  0.6400  0.3600  0.5375  6 Se 2.83-2.90
Tm  0.6400  0.3600  0.9625  6 Se 2.83-2.90
Tm  0.9088  0.0912  0.6251  6 Se 2.83-2.85
Tm  0.9088  0.0912  0.8749  6 Se 2.83-2.85
Se  0.0000  0.0000  0.0000  6 Tm 2.84-2.85
Se  0.0000  0.0000  0.5000  6 Tm 2.84-2.85
Se  0.1790  0.8210  0.2500  2 Tm 2.83, 2 Pr 2.99
Se  0.2672  0.7328  0.5898  5 Tm 2.83-2.90
Se  0.2672  0.7328  0.9102  5 Tm 2.83-2.90
Se  0.4523  0.5477  0.1626  3 Tm 2.83-2.86, 2 Pr 3.04
Se  0.4523  0.5477  0.3374  3 Tm 2.83-2.86, 2 Pr 3.04
Se  0.5477  0.4523  0.6626  3 Tm 2.83-2.86, 2 Pr 3.04
Se  0.5477  0.4523  0.8374  3 Tm 2.83-2.86, 2 Pr 3.04
Se  0.7328  0.2672  0.0898  5 Tm 2.83-2.90
Se  0.7328  0.2672  0.4102  5 Tm 2.83-2.90
Se  0.8210  0.1790  0.7500  2 Tm 2.83, 2 Pr 2.99

**Total magnetization**: 0.000 μB/atom
**E_tot**: -5.75 eV per atom
**Calculated volume**: 546.8 Å³ per cell
**Space-group type**: Cmcm

---

Entry 6:
# PrTm2Se4

A geometry-optimized PrTm2Se4 structure (GGA-PBE, Alexandria).

a = 6.9755 Å, b = 6.9755 Å, c = 13.7934 Å
α = 90.00°, β = 90.00°, γ = 146.56°
With the nearest neighbours (Å) after each atom.
Atoms (fractional coordinates):
Pr  0.1234  0.8766  0.7500  6 Se 3.00-3.05
Pr  0.8766  0.1234  0.2500  6 Se 3.00-3.05
Tm  0.3692  0.6308  0.5675  6 Se 2.77-2.86
Tm  0.3692  0.6308  0.9325  6 Se 2.77-2.86
Tm  0.6308  0.3692  0.0675  6 Se 2.77-2.86
Tm  0.6308  0.3692  0.4325  6 Se 2.77-2.86
Se  0.0000  0.0000  0.0000  4 Tm 2.82
Se  0.0000  0.0000  0.5000  4 Tm 2.82
Se  0.2725  0.7275  0.1177  3 Tm 2.85-2.86, 2 Pr 3.05
Se  0.2725  0.7275  0.3823  3 Tm 2.85-2.86, 2 Pr 3.05
Se  0.4564  0.5436  0.7500  2 Tm 2.77, 2 Pr 3.00
Se  0.5436  0.4564  0.2500  2 Tm 2.77, 2 Pr 3.00
Se  0.7275  0.2725  0.6177  3 Tm 2.85-2.86, 2 Pr 3.05
Se  0.7275  0.2725  0.8823  3 Tm 2.85-2.86, 2 Pr 3.05

**Total magnetization**: 0.000 μB/atom
**E_tot**: -5.80 eV per atom
**Calculated volume**: 369.8 Å³ per cell
**Space-group type**: Cmcm

---

Please write out number 1 again, unchanged.
# Pr2Tm2Se5

A geometry-optimized Pr2Tm2Se5 structure (GGA-PBE, Alexandria).

a = 8.4096 Å, b = 8.4096 Å, c = 7.7130 Å
α = 90.00°, β = 90.00°, γ = 55.16°
With the nearest neighbours (Å) after each atom.
Atoms (fractional coordinates):
Pr  0.1982  0.1982  0.0000  7 Se 2.95-3.10
Pr  0.3018  0.3018  0.5000  7 Se 2.95-3.10
Pr  0.6982  0.6982  0.5000  7 Se 2.95-3.10
Pr  0.8018  0.8018  0.0000  7 Se 2.95-3.10
Tm  0.1512  0.8488  0.6564  8 Se 2.86-3.11
Tm  0.3488  0.6512  0.1564  8 Se 2.86-3.11
Tm  0.6512  0.3488  0.8436  8 Se 2.86-3.11
Tm  0.8488  0.1512  0.3436  8 Se 2.86-3.11
Se  0.0000  0.0000  0.0000  4 Tm 2.90-2.97, 2 Pr 2.95
Se  0.0263  0.7101  0.3460  3 Tm 2.86-3.11, 3 Pr 3.06-3.10
Se  0.2101  0.5263  0.8460  3 Tm 2.86-3.11, 3 Pr 3.06-3.10
Se  0.2899  0.9737  0.3460  3 Tm 2.86-3.11, 3 Pr 3.06-3.10
Se  0.4737  0.7899  0.8460  3 Tm 2.86-3.11, 3 Pr 3.06-3.10
Se  0.5000  0.5000  0.5000  4 Tm 2.90-2.97, 2 Pr 2.95
Se  0.5263  0.2101  0.1540  3 Tm 2.86-3.11, 3 Pr 3.06-3.10
Se  0.7101  0.0263  0.6540  3 Tm 2.86-3.11, 3 Pr 3.06-3.10
Se  0.7899  0.4737  0.1540  3 Tm 2.86-3.11, 3 Pr 3.06-3.10
Se  0.9737  0.2899  0.6540  3 Tm 2.86-3.11, 3 Pr 3.06-3.10

**Total magnetization**: 0.000 μB/atom
**E_tot**: -5.72 eV per atom
**Calculated volume**: 447.7 Å³ per cell
**Space-group type**: Cmce